BaBeSe2Br | SCAN | PBEsol geometry

Structure (CIF):
```
data_BaBeSe2Br
_chemical_formula_sum 'Ba1 Be1 Se2 Br1'
_space_group_name_H-M_alt 'P 4/m m m'
_space_group_IT_number 123
_space_group_name_Hall '-P 4 2'
_cell_length_a 4.657
_cell_length_b 4.657
_cell_length_c 5.416
_cell_angle_alpha 90.00
_cell_angle_beta 90.00
_cell_angle_gamma 90.00
loop_
_atom_site_label
_atom_site_type_symbol
_atom_site_fract_x
_atom_site_fract_y
_atom_site_fract_z
Ba1 Ba 0.000 0.000 0.000
Be1 Be 0.500 0.500 0.500
Se1 Se 0.000 0.500 0.500
Br1 Br 0.500 0.500 0.000
```

Magnetization, μB per cell: 0.0
Energy relative to the elements, uncorrected, eV/atom: -1.185